Record 1
The following is a GGA-PBE calculation of ScMnSi3 after structural relaxation, from the Alexandria database. Values from VASP.

```
&SYSTEM
  ibrav = 0, nat = 5, ntyp = 3
/
ATOMIC_SPECIES
Sc 44.96 Sc.upf
Mn 54.94 Mn.upf
Si 28.09 Si.upf
ATOMIC_POSITIONS crystal
Sc 0.000 0.000 0.000
Mn 0.500 0.500 0.500
Si 0.000 0.000 0.500
Si 0.000 0.500 0.000
Si 0.500 0.000 0.000
CELL_PARAMETERS angstrom
4.867 0.000 0.000
0.000 4.867 0.000
0.000 0.000 4.867
```

As for the volume: 23.1 Å³ per atom. The value obtained for the total energy is -4.74 eV per atom. The value obtained for the density of states at the Fermi level is 9.93 states/eV per cell. As for the crystal system: cubic. The symmetry is No. 221. Its uncorrected formation energy is 8.06 eV/f.u.



Record 2
The following is a GGA-PBE calculation of Sc3MnSi after structural relaxation, from the Alexandria database. Values from VASP.

```
&SYSTEM
  ibrav = 0, nat = 5, ntyp = 3
/
ATOMIC_SPECIES
Sc 44.96 Sc.upf
Mn 54.94 Mn.upf
Si 28.09 Si.upf
ATOMIC_POSITIONS crystal
Sc 0.000 0.000 0.500
Sc 0.000 0.500 0.000
Sc 0.500 0.000 0.000
Mn 0.000 0.000 0.000
Si 0.500 0.500 0.500
CELL_PARAMETERS angstrom
4.720 0.000 0.000
0.000 4.720 0.000
0.000 0.000 4.720
```

As for the volume: 21.0 Å³ per atom. The value obtained for the total energy is -6.49 eV per atom. The value obtained for the density of states at the Fermi level is 4.81 states/eV per cell. As for the crystal system: cubic. As for the energy above the most stable polymorph in this dataset: 0.000 eV/f.u. The symmetry is No. 221. Its uncorrected formation energy is 1.13 eV/f.u.



Record 3
The following is a GGA-PBE calculation of ScMnSi3 after structural relaxation, from the Alexandria database. Values from VASP.

```
&SYSTEM
  ibrav = 0, nat = 5, ntyp = 3
/
ATOMIC_SPECIES
Sc 44.96 Sc.upf
Mn 54.94 Mn.upf
Si 28.09 Si.upf
ATOMIC_POSITIONS crystal
Sc 0.000 0.000 0.000
Mn 0.500 0.500 0.500
Si 0.000 0.500 0.500
Si 0.500 0.000 0.500
Si 0.500 0.500 0.000
CELL_PARAMETERS angstrom
4.406 0.000 0.000
0.000 4.406 0.000
0.000 0.000 4.406
```

As for the volume: 17.1 Å³ per atom. The value obtained for the total energy is -6.24 eV per atom. The value obtained for the density of states at the Fermi level is 3.35 states/eV per cell. As for the crystal system: cubic. The symmetry is No. 221. Its uncorrected formation energy is 0.58 eV/f.u.